No. 1
{
  "formula": "KTaCdS3",
  "functional": "GGA-PBE",
  "state": "relaxed",
  "dft_energy_ev_per_atom": -5.0014,
  "lattice": [[1.864, -7.386, 0.000], [1.864, 7.386, 0.000], [0.000, 0.000, 10.104]],
  "species": ["K", "K", "Ta", "Ta", "Cd", "Cd", "S", "S", "S", "S", "S", "S"],
  "fractional_positions": [[0.242, 0.758, 0.750], [0.758, 0.242, 0.250], [0.500, 0.500, 0.000], [0.500, 0.500, 0.500], [0.050, 0.950, 0.250], [0.950, 0.050, 0.750], [0.121, 0.879, 0.029], [0.121, 0.879, 0.471], [0.433, 0.567, 0.250], [0.567, 0.433, 0.750], [0.879, 0.121, 0.529], [0.879, 0.121, 0.971]]
}


No. 2
{
  "formula": "SmErNb",
  "functional": "GGA-PBE",
  "state": "relaxed",
  "relative_energy_kj_per_mol_atoms": 0.0,
  "e_form_ev_per_atom": 0.80,
  "lattice": [[0.000, 3.593, 3.593], [3.593, 0.000, 3.593], [3.593, 3.593, 0.000]],
  "species": ["Sm", "Er", "Nb"],
  "fractional_positions": [[0.000, 0.000, 0.000], [0.500, 0.500, 0.500], [0.750, 0.750, 0.750]]
}


No. 3
{
  "formula": "PmGaSb",
  "functional": "GGA-PBE",
  "state": "relaxed",
  "relative_energy_kj_per_mol_atoms": 5.4,
  "lattice": [[0.000, 3.596, 3.596], [3.596, 0.000, 3.596], [3.596, 3.596, 0.000]],
  "species": ["Pm", "Ga", "Sb"],
  "fractional_positions": [[0.000, 0.000, 0.000], [0.750, 0.750, 0.750], [0.250, 0.250, 0.250]]
}


No. 4
{
  "formula": "CuTcAgGe",
  "functional": "GGA-PBE",
  "state": "relaxed",
  "relative_energy_kj_per_mol_atoms": 0.0,
  "lattice": [[0.000, 3.099, 3.099], [3.099, 0.000, 3.099], [3.099, 3.099, 0.000]],
  "species": ["Cu", "Tc", "Ag", "Ge"],
  "fractional_positions": [[0.000, 0.000, 0.000], [0.500, 0.500, 0.500], [0.250, 0.250, 0.250], [0.750, 0.750, 0.750]]
}


No. 5
{
  "formula": "MgCoAsW",
  "functional": "GGA-PBE",
  "state": "relaxed",
  "relative_energy_kj_per_mol_atoms": 0.0,
  "lattice": [[0.000, 3.059, 3.059], [3.059, 0.000, 3.059], [3.059, 3.059, 0.000]],
  "species": ["Mg", "Co", "As", "W"],
  "fractional_positions": [[0.000, 0.000, 0.000], [0.750, 0.750, 0.750], [0.500, 0.500, 0.500], [0.250, 0.250, 0.250]]
}


No. 6
{
  "formula": "Pr4Mg3Fe2",
  "functional": "GGA-PBE",
  "state": "relaxed",
  "dft_energy_ev_per_atom": -4.4839,
  "lattice": [[7.631, 0.000, 0.000], [0.000, 3.962, 0.000], [-2.832, 0.000, 7.862]],
  "species": ["Pr", "Pr", "Pr", "Pr", "Mg", "Mg", "Mg", "Fe", "Fe"],
  "fractional_positions": [[0.094, 0.000, 0.224], [0.390, 0.000, 0.690], [0.610, 0.000, 0.310], [0.906, 0.000, 0.776], [0.000, 0.500, 0.500], [0.292, 0.500, 0.005], [0.708, 0.500, 0.995], [0.362, 0.500, 0.404], [0.638, 0.500, 0.596]]
}


No. 7
{
  "formula": "Zr3InN2",
  "functional": "GGA-PBE",
  "state": "relaxed",
  "dft_energy_ev_per_atom": -8.7575,
  "lattice": [[3.271, 0.000, 0.000], [-1.636, 2.833, 0.000], [0.000, 0.000, 20.362]],
  "species": ["Zr", "Zr", "Zr", "Zr", "Zr", "Zr", "In", "In", "N", "N", "N", "N"],
  "fractional_positions": [[0.000, 0.000, 0.000], [0.000, 0.000, 0.500], [0.333, 0.667, 0.128], [0.333, 0.667, 0.372], [0.667, 0.333, 0.628], [0.667, 0.333, 0.872], [0.000, 0.000, 0.250], [0.000, 0.000, 0.750], [0.333, 0.667, 0.566], [0.333, 0.667, 0.934], [0.667, 0.333, 0.066], [0.667, 0.333, 0.434]]
}


No. 8
{
  "formula": "SmCuGeSe2S",
  "functional": "GGA-PBE",
  "state": "relaxed",
  "dft_energy_ev_per_atom": -4.8618,
  "lattice": [[1.958, -6.535, 0.000], [1.958, 6.535, 0.000], [0.000, 0.000, 10.444]],
  "species": ["Sm", "Sm", "Cu", "Cu", "Ge", "Ge", "Se", "Se", "Se", "Se", "S", "S"],
  "fractional_positions": [[0.000, 0.000, 0.000], [0.000, 0.000, 0.500], [0.478, 0.522, 0.750], [0.522, 0.478, 0.250], [0.237, 0.763, 0.250], [0.763, 0.237, 0.750], [0.347, 0.653, 0.578], [0.347, 0.653, 0.922], [0.653, 0.347, 0.078], [0.653, 0.347, 0.422], [0.082, 0.918, 0.750], [0.918, 0.082, 0.250]]
}


No. 9
{
  "formula": "K2RbTm2F7",
  "functional": "GGA-PBE",
  "state": "relaxed",
  "dft_energy_ev_per_atom": -5.1180,
  "lattice": [[-2.128, 2.128, 11.668], [2.128, -2.128, 11.668], [2.128, 2.128, -11.668]],
  "species": ["K", "K", "Rb", "Tm", "Tm", "F", "F", "F", "F", "F", "F", "F"],
  "fractional_positions": [[0.204, 0.204, 0.000], [0.796, 0.796, 0.000], [0.000, 0.000, 0.000], [0.402, 0.402, 0.000], [0.598, 0.598, 0.000], [0.077, 0.577, 0.500], [0.313, 0.313, 0.000], [0.423, 0.923, 0.500], [0.500, 0.500, 0.000], [0.577, 0.077, 0.500], [0.687, 0.687, 0.000], [0.923, 0.423, 0.500]]
}


No. 10
{
  "formula": "LuZnPt2",
  "functional": "GGA-PBE",
  "state": "relaxed",
  "e_form_ev_per_atom": -0.71,
  "lattice": [[0.000, 3.272, 3.272], [3.272, 0.000, 3.272], [3.272, 3.272, 0.000]],
  "species": ["Lu", "Zn", "Pt", "Pt"],
  "fractional_positions": [[0.000, 0.000, 0.000], [0.750, 0.750, 0.750], [0.250, 0.250, 0.250], [0.500, 0.500, 0.500]]
}


No. 11
{
  "formula": "RbTbOs",
  "functional": "GGA-PBE",
  "state": "relaxed",
  "dft_energy_ev_per_atom": -4.4790,
  "lattice": [[0.000, 3.498, 3.498], [3.498, 0.000, 3.498], [3.498, 3.498, 0.000]],
  "species": ["Rb", "Tb", "Os"],
  "fractional_positions": [[0.000, 0.000, 0.000], [0.500, 0.500, 0.500], [0.250, 0.250, 0.250]]
}


No. 12
{
  "formula": "TeAu9",
  "functional": "GGA-PBE",
  "state": "relaxed",
  "relative_energy_kj_per_mol_atoms": 0.0,
  "lattice": [[2.942, 0.000, 0.000], [0.000, 3.973, 0.000], [0.000, 0.000, 34.326]],
  "species": ["Te", "Te", "Au", "Au", "Au", "Au", "Au", "Au", "Au", "Au", "Au", "Au", "Au", "Au", "Au", "Au", "Au", "Au", "Au", "Au"],
  "fractional_positions": [[0.250, 0.250, 0.065], [0.750, 0.750, 0.935], [0.250, 0.250, 0.165], [0.250, 0.250, 0.254], [0.250, 0.250, 0.343], [0.250, 0.250, 0.433], [0.250, 0.250, 0.523], [0.250, 0.250, 0.612], [0.250, 0.250, 0.702], [0.250, 0.250, 0.791], [0.250, 0.250, 0.881], [0.750, 0.750, 0.119], [0.750, 0.750, 0.209], [0.750, 0.750, 0.298], [0.750, 0.750, 0.388], [0.750, 0.750, 0.477], [0.750, 0.750, 0.567], [0.750, 0.750, 0.657], [0.750, 0.750, 0.746], [0.750, 0.750, 0.835]]
}


No. 13
{
  "formula": "PaAgSb",
  "functional": "GGA-PBE",
  "state": "relaxed",
  "relative_energy_kj_per_mol_atoms": 7.6,
  "lattice": [[0.000, 3.544, 3.544], [3.544, 0.000, 3.544], [3.544, 3.544, 0.000]],
  "species": ["Pa", "Ag", "Sb"],
  "fractional_positions": [[0.000, 0.000, 0.000], [0.750, 0.750, 0.750], [0.250, 0.250, 0.250]]
}